CsAl3H | the Alexandria database | GGA-PBE | relaxed; total energy = -5.3 eV for the cell shown; polymorph energy (0 for the lowest one) = 1.1988 eV per atom
1.0
-1.3046 6.4365 -0.8598
-3.9166 -0.0804 5.3407
5.1795 1.5604 3.8219
Cs Al H
1 3 1
Cartesian
0.0000 0.0000 0.0000
-1.9583 -0.0402 2.6703
-0.6523 3.2182 -0.4299
2.5898 0.7802 1.9110
-0.0208 3.9582 4.1514